# 1
Computed, not measured: SmYCl3 after structural relaxation at the GGA-PBE level of DFT.

Computed properties:
energy above the lowest structure with this stoichiometry = 0 meV/atom
M_tot = 0.0 μB per cell
energy = -51.9 eV/cell

Unit cell a=8.041 b=8.041 c=10.435 alpha=117.87 beta=117.87 gamma=27.95
Positions (direct):
Cl 0.226 0.226 0.114
Cl 0.952 0.952 0.258
Cl 0.343 0.343 0.492
Cl 0.657 0.657 0.508
Cl 0.048 0.048 0.742
Cl 0.774 0.774 0.886
Sm 0.140 0.140 0.292
Sm 0.860 0.860 0.708
Y 0.413 0.413 0.050
Y 0.587 0.587 0.950



# 2
Computed, not measured: SmYCl3 after structural relaxation at the GGA-PBE level of DFT.

Computed properties:
energy above the lowest structure with this stoichiometry = 3 meV/atom
M_tot = 0.0 μB per cell
energy = -51.9 eV/cell

Unit cell a=8.023 b=8.023 c=10.316 alpha=117.88 beta=117.88 gamma=28.27
Positions (direct):
Cl 0.661 0.661 0.005
Cl 0.042 0.042 0.231
Cl 0.770 0.770 0.377
Cl 0.230 0.230 0.623
Cl 0.958 0.958 0.769
Cl 0.339 0.339 0.995
Sm 0.589 0.589 0.449
Sm 0.411 0.411 0.551
Y 0.861 0.861 0.207
Y 0.139 0.139 0.793



# 3
Computed, not measured: SmZr6Cl2 after structural relaxation at the GGA-PBE level of DFT.

Computed properties:
M_tot = 0.5 μB per cell
energy = -57.9 eV/cell

Unit cell a=4.886 b=4.886 c=9.638 alpha=90.00 beta=90.00 gamma=90.00
Positions (direct):
Cl 0.500 0.500 0.246
Cl 0.500 0.500 0.754
Sm 0.000 0.000 0.000
Zr 0.500 0.500 0.000
Zr 0.500 0.000 0.293
Zr 0.000 0.500 0.293
Zr 0.500 0.500 0.500
Zr 0.000 0.500 0.707
Zr 0.500 0.000 0.707



# 4
Computed, not measured: ThSn3Cl after structural relaxation at the GGA-PBE level of DFT.

Computed properties:
M_tot = 0.0 μB per cell
energy = -20.8 eV/cell

Unit cell a=5.266 b=5.266 c=5.266 alpha=90.00 beta=90.00 gamma=90.00
Positions (direct):
Cl 0.500 0.500 0.500
Sn 0.500 0.500 0.000
Sn 0.500 0.000 0.500
Sn 0.000 0.500 0.500
Th 0.000 0.000 0.000



# 5
Computed, not measured: YTmSnCl2 after structural relaxation at the GGA-PBE level of DFT.

Computed properties:
M_tot = 0.0 μB per cell
energy = -25.9 eV/cell

Unit cell a=4.148 b=4.148 c=9.871 alpha=90.00 beta=90.00 gamma=120.00
Positions (direct):
Cl 0.333 0.667 0.169
Cl 0.667 0.333 0.835
Sn 0.000 0.000 0.497
Tm 0.667 0.333 0.318
Y 0.333 0.667 0.682



# 6
Computed, not measured: Sn2W3Cl14 after structural relaxation at the GGA-PBE level of DFT.

Computed properties:
M_tot = 0.0 μB per cell
energy = -178.7 eV/cell

Unit cell a=9.632 b=12.099 c=9.632 alpha=90.00 beta=120.00 gamma=90.00
Positions (direct):
Cl 0.000 0.058 0.000
Cl 0.000 0.558 0.000
Cl 0.650 0.237 0.018
Cl 0.705 0.724 0.025
Cl 0.500 0.452 0.101
Cl 0.441 0.975 0.198
Cl 0.802 0.975 0.243
Cl 0.320 0.724 0.295
Cl 0.025 0.224 0.320
Cl 0.667 0.688 0.333
Cl 0.368 0.237 0.350
Cl 0.018 0.737 0.368
Cl 0.899 0.452 0.399
Cl 0.243 0.475 0.441
Cl 0.601 0.452 0.500
Cl 0.399 0.952 0.500
Cl 0.757 0.975 0.559
Cl 0.101 0.952 0.601
Cl 0.982 0.237 0.632
Cl 0.632 0.737 0.650
Cl 0.333 0.188 0.667
Cl 0.975 0.724 0.680
Cl 0.680 0.224 0.705
Cl 0.198 0.475 0.757
Cl 0.559 0.475 0.802
Cl 0.500 0.952 0.899
Cl 0.295 0.224 0.975
Cl 0.350 0.737 0.982
Sn 0.000 0.258 0.000
Sn 0.000 0.758 0.000
Sn 0.667 0.300 0.333
Sn 0.333 0.800 0.667
W 0.591 0.839 0.146
W 0.555 0.839 0.409
W 0.854 0.839 0.445
W 0.146 0.339 0.555
W 0.445 0.339 0.591
W 0.409 0.339 0.854



# 7
Computed, not measured: ZrSnCl6 after structural relaxation at the GGA-PBE level of DFT.

Computed properties:
M_tot = 0.0 μB per cell
energy = -211.8 eV/cell

Unit cell a=11.674 b=6.533 c=18.576 alpha=90.00 beta=91.54 gamma=90.00
Positions (direct):
Cl 0.351 0.857 0.060
Cl 0.657 0.837 0.065
Cl 0.001 0.811 0.074
Cl 0.518 0.312 0.077
Cl 0.146 0.323 0.078
Cl 0.843 0.360 0.084
Cl 0.329 0.148 0.243
Cl 0.004 0.164 0.245
Cl 0.161 0.649 0.249
Cl 0.521 0.651 0.261
Cl 0.673 0.180 0.263
Cl 0.823 0.646 0.268
Cl 0.521 0.307 0.411
Cl 0.370 0.824 0.412
Cl 0.664 0.804 0.420
Cl 0.830 0.348 0.423
Cl 0.141 0.369 0.424
Cl 0.977 0.819 0.427
Cl 0.351 0.143 0.560
Cl 0.657 0.163 0.565
Cl 0.001 0.189 0.574
Cl 0.518 0.688 0.577
Cl 0.146 0.677 0.578
Cl 0.843 0.640 0.584
Cl 0.329 0.852 0.743
Cl 0.004 0.836 0.745
Cl 0.161 0.351 0.749
Cl 0.521 0.349 0.761
Cl 0.673 0.820 0.763
Cl 0.823 0.354 0.768
Cl 0.521 0.693 0.911
Cl 0.370 0.176 0.912
Cl 0.664 0.196 0.920
Cl 0.830 0.652 0.923
Cl 0.141 0.631 0.924
Cl 0.977 0.181 0.927
Sn 0.842 0.003 0.162
Sn 0.323 0.489 0.170
Sn 0.166 0.989 0.328
Sn 0.842 0.997 0.662
Sn 0.323 0.511 0.670
Sn 0.166 0.011 0.828
Zr 0.997 0.485 0.001
Zr 0.670 0.491 0.335
Zr 0.504 0.980 0.499
Zr 0.997 0.515 0.501
Zr 0.670 0.509 0.835
Zr 0.504 0.020 0.999



# 8
Computed, not measured: TaCl4 after structural relaxation at the GGA-PBE level of DFT.

Computed properties:
M_tot = 0.0 μB per cell
energy = -25.4 eV/cell

Unit cell a=6.051 b=6.051 c=3.356 alpha=90.00 beta=90.00 gamma=95.61
Positions (direct):
Cl 0.284 0.284 0.000
Cl 0.716 0.716 0.000
Cl 0.797 0.203 0.500
Cl 0.203 0.797 0.500
Ta 0.000 0.000 0.000



# 9
Computed, not measured: Ta2Cl after structural relaxation at the GGA-PBE level of DFT.

Computed properties:
energy above the lowest structure with this stoichiometry = 1930 meV/atom
M_tot = 1.2 μB per cell
energy = -32.6 eV/cell

Unit cell a=7.297 b=7.297 c=7.297 alpha=60.00 beta=60.00 gamma=60.00
Positions (direct):
Cl 0.500 0.500 0.500
Cl 0.750 0.750 0.750
Ta 0.625 0.625 0.125
Ta 0.125 0.625 0.625
Ta 0.625 0.125 0.625
Ta 0.625 0.625 0.625



# 10
Computed, not measured: Ta2Cl after structural relaxation at the GGA-PBE level of DFT.

Computed properties:
energy above the lowest structure with this stoichiometry = 0 meV/atom
M_tot = 0.0 μB per cell
energy = -44.2 eV/cell

Unit cell a=5.612 b=5.612 c=5.612 alpha=60.00 beta=60.00 gamma=60.00
Positions (direct):
Cl 0.000 0.000 0.000
Cl 0.250 0.250 0.250
Ta 0.625 0.625 0.125
Ta 0.625 0.125 0.625
Ta 0.125 0.625 0.625
Ta 0.625 0.625 0.625



# 11
Computed, not measured: Ta2WCl2 after structural relaxation at the GGA-PBE level of DFT.

Computed properties:
M_tot = 0.0 μB per cell
energy = -81.7 eV/cell

Unit cell a=14.444 b=14.444 c=14.444 alpha=167.62 beta=161.38 gamma=22.43
Positions (direct):
Cl 0.598 0.348 0.250
Cl 0.053 0.803 0.250
Cl 0.947 0.197 0.750
Cl 0.402 0.652 0.750
Ta 0.784 0.534 0.250
Ta 0.878 0.628 0.250
Ta 0.122 0.372 0.750
Ta 0.216 0.466 0.750
W 0.296 0.046 0.250
W 0.704 0.954 0.750



# 12
Computed, not measured: TbCl3 after structural relaxation at the GGA-PBE level of DFT.

Computed properties:
M_tot = 0.0 μB per cell
energy = -76.0 eV/cell

Unit cell a=7.051 b=8.842 c=6.031 alpha=90.00 beta=90.00 gamma=90.00
Positions (direct):
Cl 0.538 0.750 0.148
Cl 0.832 0.067 0.164
Cl 0.832 0.433 0.164
Cl 0.332 0.067 0.336
Cl 0.332 0.433 0.336
Cl 0.038 0.750 0.352
Cl 0.962 0.250 0.648
Cl 0.668 0.567 0.664
Cl 0.668 0.933 0.664
Cl 0.168 0.567 0.836
Cl 0.168 0.933 0.836
Cl 0.462 0.250 0.852
Tb 0.125 0.250 0.047
Tb 0.625 0.250 0.453
Tb 0.375 0.750 0.547
Tb 0.875 0.750 0.953